Sc2CoSi at its PBEsol-relaxed geometry. Source: the Alexandria database, functional meta-GGA SCAN.

Results
Calculated density ... 4.40 Mg/m³
Energy ... -57.90 eV for the cell shown
Formation energy from raw total energies ... -0.526 eV/atom

a = 3.9453 Å, b = 5.2508 Å, c = 5.2508 Å
α = 37.92°, β = 90.00°, γ = 90.00°
Closest atoms and distances in Å follow each position.
Sites, in units of the cell vectors:
Sc1 0.0000 0.0000 0.0000  3 Si 2.71-2.86, 4 Co 2.73
Sc2 0.5000 0.2896 0.2896  3 Co 2.69-2.89, 4 Si 2.72
Co1 0.5000 0.5803 0.5803  2 Si 2.37
Si1 0.0000 0.7122 0.7122  2 Co 2.37



ScCoSiTc2 at its PBEsol-relaxed geometry. Source: the Alexandria database, functional meta-GGA SCAN.

Results
Calculated density ... 6.82 Mg/m³
Energy ... -110.50 eV for the cell shown
Formation energy from raw total energies ... 0.236 eV/atom

a = 4.4135 Å, b = 4.4135 Å, c = 4.1024 Å
α = 90.00°, β = 90.00°, γ = 90.00°
Closest atoms and distances in Å follow each position.
Sites, in units of the cell vectors:
Sc1 0.0000 0.0000 0.0000  8 Tc 3.01, 4 Co 3.12
Co1 0.5000 0.5000 0.0000  2 Si 2.05
Si1 0.5000 0.5000 0.5000  2 Co 2.05, 4 Tc 2.21
Tc1 0.0000 0.5000 0.5000  2 Si 2.21
Tc2 0.5000 0.0000 0.5000  2 Si 2.21



ScCoSn at its PBEsol-relaxed geometry. Source: the Alexandria database, functional meta-GGA SCAN.

Results
Calculated density ... 7.24 Mg/m³
Energy ... -275.15 eV for the cell shown
ΔH_f (0 K) ... -0.44 eV per atom

a = 6.2727 Å, b = 4.3176 Å, c = 7.5360 Å
α = 90.00°, β = 90.00°, γ = 90.00°
Closest atoms and distances in Å follow each position.
Sites, in units of the cell vectors:
Sc1 0.0156 0.2500 0.1990  3 Co 2.67-2.87, 1 Sn 2.95
Sc2 0.4844 0.7500 0.6990  3 Co 2.67-2.87, 1 Sn 2.95
Sc3 0.5156 0.2500 0.3010  3 Co 2.67-2.87, 1 Sn 2.95
Sc4 0.9844 0.7500 0.8010  3 Co 2.67-2.87, 1 Sn 2.95
Co1 0.2436 0.7500 0.4074  4 Sn 2.52-2.68, 1 Sc 2.67
Co2 0.2564 0.2500 0.9074  4 Sn 2.52-2.68, 1 Sc 2.67
Co3 0.7436 0.7500 0.0926  4 Sn 2.52-2.68, 1 Sc 2.67
Co4 0.7564 0.2500 0.5926  4 Sn 2.52-2.68, 1 Sc 2.67
Sn1 0.1827 0.2500 0.5782  4 Co 2.52-2.68
Sn2 0.3173 0.7500 0.0782  4 Co 2.52-2.68
Sn3 0.6827 0.2500 0.9218  4 Co 2.52-2.68
Sn4 0.8173 0.7500 0.4218  4 Co 2.52-2.68



Sc2CoSnW at its PBEsol-relaxed geometry. Source: the Alexandria database, functional meta-GGA SCAN.

Results
Calculated density ... 6.83 Mg/m³
Energy ... -147.83 eV for the cell shown
ΔH_f (0 K) ... 0.71 eV per atom

a = 5.0049 Å, b = 5.0049 Å, c = 4.3796 Å
α = 90.00°, β = 90.00°, γ = 90.00°
Closest atoms and distances in Å follow each position.
Sites, in units of the cell vectors:
Sc1 0.0000 0.5000 0.0000  2 W 2.50
Sc2 0.5000 0.0000 0.0000  2 W 2.50
Co1 0.0000 0.0000 0.5000  2 W 2.19
Sn1 0.5000 0.5000 0.5000  8 Sc 3.33, 4 Co 3.54
W1 0.0000 0.0000 0.0000  2 Co 2.19



Sr2ScCo at its PBEsol-relaxed geometry. Source: the Alexandria database, functional meta-GGA SCAN.

Results
Calculated density ... 4.01 Mg/m³
E above lowest polymorph ... 0 meV/atom
Energy ... -74.80 eV for the cell shown
ΔH_f (0 K) ... 0.32 eV per atom

a = 6.4747 Å, b = 6.4747 Å, c = 6.4747 Å
α = 147.89°, β = 125.92°, γ = 64.30°
Closest atoms and distances in Å follow each position.
Sites, in units of the cell vectors:
Sr1 0.0000 0.0000 0.0000  4 Co 3.47, 2 Sc 3.52, 4 Sr 3.55-3.58
Sr2 0.6811 0.1811 0.5000  2 Co 2.98
Sc1 0.3248 0.8248 0.5000  2 Co 2.35
Co1 0.4638 0.4638 0.0000  2 Sc 2.35



SrSc2Co at its PBEsol-relaxed geometry. Source: the Alexandria database, functional meta-GGA SCAN.

Results
Calculated density ... 3.54 Mg/m³
Energy ... -67.13 eV for the cell shown
ΔH_f (0 K) ... 0.23 eV per atom

a = 9.9971 Å, b = 9.9971 Å, c = 9.9971 Å
α = 20.87°, β = 20.87°, γ = 20.87°
Closest atoms and distances in Å follow each position.
Sites, in units of the cell vectors:
Sr1 0.0000 0.0000 0.0000  2 Sc 3.58, 6 Sr 3.62
Sc1 0.1222 0.1222 0.1222  3 Co 2.46
Sc2 0.8778 0.8778 0.8778  3 Co 2.46
Co1 0.5000 0.5000 0.5000  6 Sc 2.46



Sr2ScCo at its PBEsol-relaxed geometry. Source: the Alexandria database, functional meta-GGA SCAN.

Results
Calculated density ... 4.09 Mg/m³
E above lowest polymorph ... 182 meV/atom
Energy ... -74.07 eV for the cell shown
ΔH_f (0 K) ... 0.51 eV per atom

a = 3.5456 Å, b = 3.5456 Å, c = 9.0112 Å
α = 90.00°, β = 90.00°, γ = 90.00°
Closest atoms and distances in Å follow each position.
Sites, in units of the cell vectors:
Sr1 0.0000 0.0000 0.1940  4 Co 3.06
Sr2 0.0000 0.0000 0.8060  4 Co 3.06
Sc1 0.5000 0.5000 0.5000  4 Sc 3.55, 8 Sr 3.73
Co1 0.5000 0.5000 0.0000  8 Sr 3.06



SrScCo2 at its PBEsol-relaxed geometry. Source: the Alexandria database, functional meta-GGA SCAN.

Results
Calculated density ... 4.65 Mg/m³
Energy ... -70.81 eV for the cell shown
ΔH_f (0 K) ... 0.08 eV per atom

a = 3.8348 Å, b = 3.8348 Å, c = 7.3654 Å
α = 105.17°, β = 105.17°, γ = 60.02°
Closest atoms and distances in Å follow each position.
Sites, in units of the cell vectors:
Sr1 0.0000 0.0000 0.0000  6 Co 3.13-3.14
Sc1 0.1759 0.1759 0.5248  6 Co 2.65-2.66
Co1 0.4390 0.4390 0.3149  3 Co 2.21
Co2 0.7730 0.7730 0.3169  3 Co 2.21



Sr2ScCo at its PBEsol-relaxed geometry. Source: the Alexandria database, functional meta-GGA SCAN.

Results
Calculated density ... 4.37 Mg/m³
E above lowest polymorph ... 342 meV/atom
Energy ... -73.43 eV for the cell shown
ΔH_f (0 K) ... 0.67 eV per atom

a = 6.1017 Å, b = 6.1017 Å, c = 6.1017 Å
α = 136.52°, β = 136.52°, γ = 63.17°
Closest atoms and distances in Å follow each position.
Sites, in units of the cell vectors:
Sr1 0.2500 0.7500 0.5000  4 Sr 3.20, 4 Co 3.44, 4 Sc 3.44
Sr2 0.7500 0.2500 0.5000  4 Sr 3.20, 4 Co 3.44, 4 Sc 3.44
Sc1 0.0000 0.0000 0.0000  4 Co 3.20, 8 Sr 3.44
Co1 0.5000 0.5000 0.0000  4 Sc 3.20, 8 Sr 3.44



Sc4TaCo at its PBEsol-relaxed geometry. Source: the Alexandria database, functional meta-GGA SCAN.

Results
Calculated density ... 6.00 Mg/m³
Energy ... -136.03 eV for the cell shown
ΔH_f (0 K) ... 0.80 eV per atom

a = 5.4779 Å, b = 5.4779 Å, c = 5.4779 Å
α = 60.00°, β = 60.00°, γ = 60.00°
Closest atoms and distances in Å follow each position.
Sites, in units of the cell vectors:
Sc1 0.3757 0.3757 0.3757  6 Sc 2.72-2.75
Sc2 0.3757 0.3757 0.8729  6 Sc 2.72-2.75
Sc3 0.3757 0.8729 0.3757  6 Sc 2.72-2.75
Sc4 0.8729 0.3757 0.3757  6 Sc 2.72-2.75
Ta1 0.7500 0.7500 0.7500  12 Sc 3.21, 4 Co 3.35
Co1 0.0000 0.0000 0.0000  12 Sc 3.21, 4 Ta 3.35



Sc2TaCo2 at its PBEsol-relaxed geometry. Source: the Alexandria database, functional meta-GGA SCAN.

Results
Calculated density ... 7.94 Mg/m³
Energy ... -260.76 eV for the cell shown
ΔH_f (0 K) ... -0.14 eV per atom

a = 6.1918 Å, b = 6.1918 Å, c = 4.2395 Å
α = 90.00°, β = 90.00°, γ = 90.00°
Closest atoms and distances in Å follow each position.
Sites, in units of the cell vectors:
Sc1 0.1787 0.3213 0.0000  6 Co 2.72-2.86
Sc2 0.3213 0.8213 0.0000  6 Co 2.72-2.86
Sc3 0.6787 0.1787 0.0000  6 Co 2.72-2.86
Sc4 0.8213 0.6787 0.0000  6 Co 2.72-2.86
Ta1 0.0000 0.0000 0.5000  4 Co 2.44
Ta2 0.5000 0.5000 0.5000  4 Co 2.44
Co1 0.1266 0.6266 0.5000  1 Co 2.22, 2 Ta 2.44
Co2 0.3734 0.1266 0.5000  1 Co 2.22, 2 Ta 2.44
Co3 0.6266 0.8734 0.5000  1 Co 2.22, 2 Ta 2.44
Co4 0.8734 0.3734 0.5000  1 Co 2.22, 2 Ta 2.44



ScCoTc3 at its PBEsol-relaxed geometry. Source: the Alexandria database, functional meta-GGA SCAN.

Results
Calculated density ... 7.71 Mg/m³
Energy ... -125.93 eV for the cell shown
ΔH_f (0 K) ... 2.16 eV per atom

a = 4.4091 Å, b = 4.4091 Å, c = 4.4091 Å
α = 90.00°, β = 90.00°, γ = 90.00°
Closest atoms and distances in Å follow each position.
Sites, in units of the cell vectors:
Sc1 0.0000 0.0000 0.0000  6 Tc 2.20
Co1 0.5000 0.5000 0.5000  12 Tc 3.12
Tc1 0.0000 0.0000 0.5000  2 Sc 2.20
Tc2 0.0000 0.5000 0.0000  2 Sc 2.20
Tc3 0.5000 0.0000 0.0000  2 Sc 2.20



ScCo2Tc at its PBEsol-relaxed geometry. Source: the Alexandria database, functional meta-GGA SCAN.

Results
Calculated density ... 8.03 Mg/m³
E above lowest polymorph ... 247 meV/atom
Energy ... -82.67 eV for the cell shown
ΔH_f (0 K) ... 0.31 eV per atom

a = 8.6352 Å, b = 8.6352 Å, c = 8.6352 Å
α = 18.04°, β = 18.04°, γ = 18.04°
Closest atoms and distances in Å follow each position.
Sites, in units of the cell vectors:
Sc1 0.0000 0.0000 0.0000  3 Co 2.67, 6 Sc 2.71, 3 Tc 2.93
Co1 0.2482 0.2482 0.2482  9 Co 2.42-2.71, 3 Sc 2.67
Co2 0.5089 0.5089 0.5089  9 Co 2.42-2.71, 3 Tc 2.53
Tc1 0.7640 0.7640 0.7640  3 Co 2.53, 6 Tc 2.71



Sc2CoTc at its PBEsol-relaxed geometry. Source: the Alexandria database, functional meta-GGA SCAN.

Results
Calculated density ... 6.61 Mg/m³
Energy ... -81.41 eV for the cell shown
ΔH_f (0 K) ... -0.14 eV per atom

a = 4.4530 Å, b = 4.4530 Å, c = 3.1257 Å
α = 90.00°, β = 90.00°, γ = 90.00°
Closest atoms and distances in Å follow each position.
Sites, in units of the cell vectors:
Sc1 0.0000 0.5000 0.0000  4 Tc 2.72, 4 Co 2.72
Sc2 0.5000 0.0000 0.0000  4 Tc 2.72, 4 Co 2.72
Co1 0.0000 0.0000 0.5000  8 Sc 2.72
Tc1 0.5000 0.5000 0.5000  8 Sc 2.72